1.
Here is a relaxed NdSmNi crystal from the Alexandria database. Energies are from PBE.

**Formation energy from the elements**: 306 meV per atom
**Magnetic moment**: 0.000 μB/atom
**Theoretical density**: 6.759 g/cm3
**Total DFT energy (no corrections)**: -14.4 eV per cell

Cell: 3.6698 3.6698 7.4419 Å, 90.00 90.00 120.00°
Closest atoms and distances in Å follow each position.
Space group P3m1 (No. 156)
One atom of each set of equivalent atoms:
Nd 0.0000 0.0000 0.0000 (multiplicity 1)  3 Ni 2.73
Sm 0.3333 0.6667 0.4159 (multiplicity 1)  1 Ni 2.62
Ni 0.3333 0.6667 0.7676 (multiplicity 1)  1 Sm 2.62, 3 Nd 2.73



2.
Here is a relaxed Nd7Sm2Ni2 crystal from the Alexandria database. Energies are from PBE.

**Formation energy from the elements**: -27 meV per atom
**Magnetic moment**: 0.000 μB/atom
**Theoretical density**: 6.919 g/cm3
**Total DFT energy (no corrections)**: -109.3 eV per cell

Cell: 10.9420 9.9488 6.6268 Å, 90.00 108.21 90.00°
Closest atoms and distances in Å follow each position.
Space group C2/m (No. 12)
One atom of each set of equivalent atoms:
Nd 0.0000 0.0000 0.0000 (multiplicity 2)  2 Ni 2.99
Nd 0.1281 0.5000 0.7256 (multiplicity 4)  1 Ni 2.68
Nd 0.1739 0.3148 0.2067 (multiplicity 8)  1 Ni 3.00
Sm 0.0000 0.1718 0.5000 (multiplicity 4)  2 Ni 2.72
Ni 0.1800 0.0000 0.4452 (multiplicity 4)  4 Nd 2.68-3.00, 2 Sm 2.72



3.
Here is a relaxed NdSmZnNi crystal from the Alexandria database. Energies are from PBE.

**Formation energy from the elements**: -290 meV per atom
**Magnetic moment**: 0.000 μB/atom
**Theoretical density**: 7.360 g/cm3
**Total DFT energy (no corrections)**: -35.4 eV per cell

Cell: 4.4744 3.8960 10.8387 Å, 90.00 90.00 90.00°
Closest atoms and distances in Å follow each position.
Space group Amm2 (No. 38)
One atom of each set of equivalent atoms:
Nd 0.0000 0.0000 0.0000 (multiplicity 2)  3 Ni 2.92-3.25, 4 Zn 3.07
Sm 0.5000 0.0000 0.7198 (multiplicity 2)  3 Zn 2.98-3.17, 4 Ni 3.09
Zn 0.5000 0.0000 0.4277 (multiplicity 2)  2 Ni 2.63
Ni 0.0000 0.0000 0.2997 (multiplicity 2)  2 Zn 2.63, 2 Nd 2.92



4.
Here is a relaxed NdNi12Sn6 crystal from the Alexandria database. Energies are from PBE.

**Formation energy from the elements**: -67 meV per atom
**Magnetic moment**: 0.000 μB/atom
**Theoretical density**: 8.343 g/cm3
**Total DFT energy (no corrections)**: -298.3 eV per cell

Cell: 10.9657 10.9657 8.9499 Å, 90.00 90.00 120.00°
Closest atoms and distances in Å follow each position.
Space group R-3m (No. 166, hexagonal axes)
One atom of each set of equivalent atoms:
Nd 0.0000 0.0000 0.0000 (multiplicity 3)  6 Ni 2.91
Ni 0.0000 0.3903 0.5000 (multiplicity 18)  3 Ni 2.41-2.59, 4 Sn 2.50-2.57
Ni 0.0809 0.1619 0.2767 (multiplicity 18)  4 Ni 2.59-2.66, 3 Sn 2.63-2.75
Sn 0.0514 0.5257 0.2526 (multiplicity 18)  7 Ni 2.50-2.75



5.
Here is a relaxed Nd3NiSn7 crystal from the Alexandria database. Energies are from PBE.

**Formation energy from the elements**: -590 meV per atom
**Magnetic moment**: 0.000 μB/atom
**Theoretical density**: 7.671 g/cm3
**Total DFT energy (no corrections)**: -109.2 eV per cell

Cell: 4.5886 4.5442 27.4567 Å, 90.00 90.00 90.00°
Closest atoms and distances in Å follow each position.
Space group Amm2 (No. 38)
One atom of each set of equivalent atoms:
Nd 0.0000 0.0000 0.0000 (multiplicity 2)  10 Sn 3.29-3.44
Nd 0.0000 0.0000 0.3715 (multiplicity 2)  10 Sn 3.37-3.68, 4 Ni 3.58
Nd 0.5000 0.0000 0.6859 (multiplicity 2)  12 Sn 3.23-3.48, 1 Ni 3.56
Ni 0.5000 0.0000 0.8156 (multiplicity 2)  5 Sn 2.50-2.53
Sn 0.0000 0.0000 0.1846 (multiplicity 2)  4 Nd 3.23, 8 Sn 3.39-3.45
Sn 0.0000 0.0000 0.5904 (multiplicity 2)  6 Sn 3.23-3.44, 4 Nd 3.37-3.48
Sn 0.0000 0.0000 0.7764 (multiplicity 2)  2 Ni 2.53
Sn 0.5000 0.0000 0.0907 (multiplicity 2)  6 Sn 3.23-3.45, 4 Nd 3.39-3.46
Sn 0.5000 0.0000 0.2753 (multiplicity 2)  2 Ni 2.53
Sn 0.5000 0.0000 0.4764 (multiplicity 2)  2 Sn 2.97, 4 Nd 3.29
Sn 0.5000 0.0000 0.9066 (multiplicity 2)  1 Ni 2.50



6.
Here is a relaxed NdNi2Sn4 crystal from the Alexandria database. Energies are from PBE.

**Formation energy from the elements**: -377 meV per atom
**Magnetic moment**: 0.000 μB/atom
**Theoretical density**: 8.127 g/cm3
**Total DFT energy (no corrections)**: -139.9 eV per cell

Cell: 19.1346 4.3756 7.1893 Å, 90.00 90.00 90.00°
Closest atoms and distances in Å follow each position.
Space group Pnma (No. 62)
One atom of each set of equivalent atoms:
Nd 0.1396 0.2500 0.0321 (multiplicity 4)  8 Sn 3.17-3.41
Ni 0.0369 0.7500 0.7504 (multiplicity 4)  7 Sn 2.62-2.86
Ni 0.2100 0.2500 0.4979 (multiplicity 4)  6 Sn 2.62-2.76
Sn 0.0253 0.7500 0.1374 (multiplicity 4)  3 Ni 2.62-2.79
Sn 0.0683 0.2500 0.5076 (multiplicity 4)  4 Ni 2.71-2.86
Sn 0.1772 0.7500 0.7147 (multiplicity 4)  4 Ni 2.70-2.97
Sn 0.2053 0.7500 0.2983 (multiplicity 4)  3 Ni 2.62-2.70



7.
Here is a relaxed Nd8Ni2Sn crystal from the Alexandria database. Energies are from PBE.

**Formation energy from the elements**: -178 meV per atom
**Magnetic moment**: 0.000 μB/atom
**Theoretical density**: 7.120 g/cm3
**Total DFT energy (no corrections)**: -111.3 eV per cell

Cell: 8.7938 13.8040 5.5128 Å, 90.00 104.33 90.00°
Closest atoms and distances in Å follow each position.
Space group C2/m (No. 12)
One atom of each set of equivalent atoms:
Nd 0.0000 0.2481 0.0000 (multiplicity 4)  2 Ni 2.85
Nd 0.1044 0.5000 0.8035 (multiplicity 4)  4 Nd 3.17-3.44, 2 Ni 3.24, 1 Sn 3.38
Nd 0.2016 0.1250 0.5675 (multiplicity 8)  2 Ni 2.93-2.97
Ni 0.0000 0.3004 0.5000 (multiplicity 4)  6 Nd 2.85-2.97
Sn 0.0000 0.0000 0.0000 (multiplicity 2)  12 Nd 3.38-3.73



8.
Here is a relaxed Nd3Ni2Sn4 crystal from the Alexandria database. Energies are from PBE.

**Formation energy from the elements**: -650 meV per atom
**Magnetic moment**: 0.000 μB/atom
**Theoretical density**: 7.736 g/cm3
**Total DFT energy (no corrections)**: -95.4 eV per cell

Cell: 11.4901 4.5308 8.7393 Å, 90.00 104.73 90.00°
Closest atoms and distances in Å follow each position.
Space group C2/m (No. 12)
One atom of each set of equivalent atoms:
Nd 0.0000 0.0000 0.0000 (multiplicity 2)  6 Sn 3.23-3.32
Nd 0.1264 0.5000 0.6891 (multiplicity 4)  3 Ni 2.95-3.20, 2 Sn 3.27
Ni 0.2011 0.5000 0.3898 (multiplicity 4)  4 Sn 2.59-2.66
Sn 0.0925 0.0000 0.3917 (multiplicity 4)  3 Ni 2.59-2.64
Sn 0.2064 0.5000 0.0879 (multiplicity 4)  1 Ni 2.66